NiBiS2 (PBE, relaxed); DFT total energy = -4.632 eV per atom; V = 183 Å³ per cell; density of states at the Fermi level = 0.728 states/eV/atom; E_form (uncorrected) = -0.153 eV per atom; ρ = 6.01 g/cm3
1.0
5.9027 0.0000 0.0000
0.0000 5.9027 0.0000
2.9514 2.9514 5.2586
S Ni Bi
4 2 2
Direct
0.2074 0.6250 0.2500
0.5426 0.1250 0.2500
0.3750 0.4574 0.7500
0.8750 0.7926 0.7500
0.5000 0.5000 0.0000
0.2500 0.7500 0.5000
0.0000 0.0000 0.0000
0.7500 0.2500 0.5000

---

NiBiS2 (PBE, relaxed); DFT total energy = -4.692 eV per atom; V = 83 Å³ per cell; density of states at the Fermi level = 0.767 states/eV/atom; E_form (uncorrected) = -0.213 eV per atom; ρ = 6.67 g/cm3
1.0
1.9955 0.0000 7.9871
-0.9977 1.7281 7.9871
-0.9977 -1.7281 7.9871
S Ni Bi
2 1 1
Direct
0.8818 0.8818 0.8818
0.1182 0.1182 0.1182
0.5000 0.5000 0.5000
0.0000 0.0000 0.0000

---

Question: Which formula does entry 2 have?
Answer: NiBiS2

---

Question: The highest ρ belongs to which entry?
Answer: number 2

---

Question: What is the formula in the first record?
Answer: NiBiS2

---

Question: What is the E_form (uncorrected) in the first record?
Answer: -0.153 eV per atom